1.
A relaxed Bi2MoHIr crystal. Source: Alexandria via LeMat-Bulk, functional PBE-GGA.

a = 5.3502 Å, b = 4.7263 Å, c = 5.3502 Å
α = 90.00°, β = 90.00°, γ = 90.00°
Last column: nearest neighbours and their distance in Å.
Sites, in units of the cell vectors:
Ir: 0.0000 0.5000 0.0000  2 Mo 2.36
Bi: 0.0000 0.0000 0.5000  2 Mo 2.68
Bi: 0.5000 0.0000 0.0000  2 Mo 2.68
Mo: 0.0000 0.0000 0.0000  2 Ir 2.36
H: 0.5000 0.5000 0.5000  8 Bi 3.57, 4 Ir 3.78

Results
DFT total energy	-4.823	eV per atom
crystal system	tetragonal
SG	P4/mmm (123)

2.
A relaxed NpBiH8Ir2 crystal. Source: Alexandria via LeMat-Bulk, functional PBE-GGA.

a = 4.6462 Å, b = 4.6462 Å, c = 7.1816 Å
α = 71.13°, β = 71.13°, γ = 60.00°
Last column: nearest neighbours and their distance in Å.
Sites, in units of the cell vectors:
H: 0.1690 0.1690 0.4929  1 Ir 1.64
H: 0.5310 0.1379 0.8000  1 Ir 1.66, 2 H 1.83
H: 0.8310 0.8310 0.5071  1 Ir 1.64
H: 0.4689 0.4690 0.2000  1 Ir 1.66, 2 H 1.83
H: 0.5311 0.5310 0.8000  1 Ir 1.66, 2 H 1.83
H: 0.1379 0.5311 0.8000  1 Ir 1.66, 2 H 1.83
H: 0.4690 0.8621 0.2000  1 Ir 1.66, 2 H 1.83
H: 0.8621 0.4689 0.2000  1 Ir 1.66, 2 H 1.83
Ir: 0.7490 0.7490 0.7530  4 H 1.64-1.66
Ir: 0.2510 0.2510 0.2470  4 H 1.64-1.66
Np: 0.5000 0.5000 0.5000  6 H 2.26
Bi: 0.0000 0.0000 0.0000  12 H 2.69

Results
DFT total energy	-4.994	eV per atom
crystal system	trigonal
SG	R-3m (166)

3.
A relaxed BiH2IrO6 crystal. Source: Alexandria via LeMat-Bulk, functional PBE-GGA.

a = 5.2410 Å, b = 5.0346 Å, c = 5.8059 Å
α = 88.48°, β = 116.96°, γ = 121.07°
Last column: nearest neighbours and their distance in Å.
Sites, in units of the cell vectors:
O: 0.1820 0.3698 0.2208  1 Ir 1.86
O: 0.7931 0.7161 0.1739  1 Ir 1.87
O: 0.7932 0.5672 0.7354  1 H 1.00
O: 0.5515 0.9536 0.7777  1 H 1.80, 1 Ir 1.91
O: 0.1237 0.1641 0.7489  1 Ir 1.86
O: 0.4338 0.0274 0.2249  1 H 0.99
Ir: 0.9756 0.9852 0.9837  6 O 1.86-2.06
H: 0.6697 0.3596 0.7774  1 O 1.00
H: 0.4264 0.8375 0.1722  1 O 0.99
Bi: 0.0165 0.4972 0.4876  6 O 2.28-2.40

Results
DFT total energy	-5.692	eV per atom
crystal system	triclinic
SG	P1 (1)

4.
A relaxed BiH6Ir2Pb crystal. Source: Alexandria via LeMat-Bulk, functional PBE-GGA.

a = 7.2568 Å, b = 7.2568 Å, c = 5.8301 Å
α = 91.54°, β = 91.54°, γ = 123.28°
Last column: nearest neighbours and their distance in Å.
Sites, in units of the cell vectors:
H: 0.8537 0.7077 0.9009  2 Ir 1.68-1.88
H: 0.2900 0.9805 0.8733  1 Ir 1.63
H: 0.1463 0.2923 0.0991  2 Ir 1.68-1.88
H: 0.5104 0.6912 0.1416  1 Ir 1.61
H: 0.9805 0.2900 0.3733  1 Ir 1.63
H: 0.7100 0.0195 0.1267  1 Ir 1.63
H: 0.3088 0.4896 0.3584  1 Ir 1.61
H: 0.0195 0.7100 0.6267  1 Ir 1.63
H: 0.4896 0.3088 0.8584  1 Ir 1.61
H: 0.6912 0.5104 0.6416  1 Ir 1.61
H: 0.7077 0.8537 0.4009  2 Ir 1.68-1.88
H: 0.2923 0.1463 0.5991  2 Ir 1.68-1.88
Ir: 0.2252 0.1634 0.8697  3 H 1.61-1.68
Ir: 0.1634 0.2252 0.3697  3 H 1.61-1.68
Ir: 0.8366 0.7748 0.6303  3 H 1.61-1.68
Ir: 0.7748 0.8366 0.1303  3 H 1.61-1.68
Pb: 0.1662 0.8338 0.2500  2 H 2.44
Pb: 0.8338 0.1662 0.7500  2 H 2.44
Bi: 0.3852 0.6148 0.7500  2 H 2.37
Bi: 0.6148 0.3852 0.2500  2 H 2.37

Results
DFT total energy	-4.436	eV per atom
crystal system	monoclinic
SG	C2/c (15)

no.,magnetization (μB per formula unit)
1,0.3
2,3.6
3,0.7
4,0.0